A plane-wave DFT calculation with PBE-GGA was carried out for a relaxed BeGeC crystal.

Cell: 3.2588 3.9023 3.2595 Å, 90.00 119.99 90.00°
Fractional positions:
Ge: 0.5969 0.4764 0.6418
C: 0.9302 0.6479 0.3085
Be: 0.9301 0.0954 0.3082

Output
As for the space-group type: P3m1 (156). The size of the total moment is 0.00 μB per formula unit. For the final energy, the calculation gives -5.2068 eV/atom. The density of states at the Fermi level is 0.1942 states/eV per atom. The value obtained for the formation energy is 0.65 eV per atom.

---

A plane-wave DFT calculation with PBE-GGA was carried out for a relaxed Be2Ge2C crystal.

Cell: 6.6570 6.6570 2.8553 Å, 90.00 90.00 90.00°
Fractional positions:
Ge: 0.1957 0.3043 0.0000
Ge: 0.6957 0.1957 0.0000
Ge: 0.3043 0.8043 0.0000
Ge: 0.8043 0.6957 0.0000
Be: 0.1080 0.6080 0.5000
Be: 0.6080 0.8920 0.5000
Be: 0.3920 0.1080 0.5000
Be: 0.8920 0.3920 0.5000
C: 0.0000 0.0000 0.0000
C: 0.5000 0.5000 0.0000

Output
As for the space-group type: P4/mbm (127). The size of the total moment is 0.00 μB per formula unit. For the final energy, the calculation gives -3.9250 eV/atom. The density of states at the Fermi level is 0.4261 states/eV per atom. The value obtained for the formation energy is 1.26 eV per atom.

---

A plane-wave DFT calculation with PBE-GGA was carried out for a relaxed BeGeC crystal.

Cell: 2.6433 5.1844 3.2096 Å, 78.09 66.13 59.35°
Fractional positions:
C: 0.8090 0.9068 0.2123
Be: 0.1065 0.9063 0.6239
Ge: 0.3219 0.4066 0.1848

Output
As for the space-group type: Pm (6). The size of the total moment is 0.00 μB per formula unit. For the final energy, the calculation gives -5.1610 eV/atom. The density of states at the Fermi level is 0.3404 states/eV per atom. The value obtained for the formation energy is 0.69 eV per atom.